[1]
This record from Alexandria via LeMat-Bulk describes a geometry-optimized Tc2Mo2H structure. The functional is PBE.

Lattice parameters (Å, degrees): 7.232 7.232 2.991 90.00 90.00 90.00
Sites, in units of the cell vectors:
H: 0.000 0.000 0.000
H: 0.500 0.500 0.000
Mo: 0.150 0.650 0.500
Mo: 0.650 0.850 0.500
Mo: 0.850 0.350 0.500
Mo: 0.350 0.150 0.500
Tc: 0.353 0.853 0.000
Tc: 0.853 0.647 0.000
Tc: 0.647 0.147 0.000
Tc: 0.147 0.353 0.000

## Properties
E_tot = -0.6098 Ry per atom
Distance to the lowest polymorph of the same formula = 0.000 eV per atom

=====

[2]
This record from Alexandria via LeMat-Bulk describes a geometry-optimized Dy3TmMg7 structure. The functional is PBE.

Lattice parameters (Å, degrees): 3.292 11.355 16.279 90.00 90.00 98.34
Sites, in units of the cell vectors:
Dy: 0.118 0.236 0.466
Dy: 0.882 0.764 0.534
Dy: 0.240 0.479 0.750
Dy: 0.760 0.521 0.250
Dy: 0.118 0.236 0.034
Dy: 0.882 0.764 0.966
Tm: 0.985 0.970 0.250
Tm: 0.015 0.030 0.750
Mg: 0.387 0.774 0.750
Mg: 0.613 0.226 0.250
Mg: 0.493 0.986 0.415
Mg: 0.507 0.014 0.585
Mg: 0.507 0.014 0.915
Mg: 0.493 0.986 0.085
Mg: 0.375 0.750 0.342
Mg: 0.625 0.250 0.658
Mg: 0.262 0.525 0.425
Mg: 0.738 0.475 0.575
Mg: 0.738 0.475 0.925
Mg: 0.262 0.525 0.075
Mg: 0.375 0.750 0.158
Mg: 0.625 0.250 0.842

## Properties
DFT formation energy = 91 meV/atom
E_tot = -0.1901 Ry per atom
Distance to the lowest polymorph of the same formula = 0.000 eV per atom

=====

[3]
This record from Alexandria via LeMat-Bulk describes a geometry-optimized Y2HfAlCr structure. The functional is PBE.

Lattice parameters (Å, degrees): 5.549 4.675 5.549 90.00 90.00 90.00
Site moments in Bohr magnetons follow the coordinates.
Sites, in units of the cell vectors:
Y: 0.000 0.000 0.500  -0.02
Y: 0.500 0.000 0.000  -0.01
Cr: 0.000 0.500 0.000  2.77
Hf: 0.000 0.000 0.000  -0.13
Al: 0.500 0.500 0.500  0.00

## Properties
DFT formation energy = 1025 meV/atom
E_tot = -0.4575 Ry per atom

=====

[4]
This record from Alexandria via LeMat-Bulk describes a geometry-optimized AlFeAs2Se structure. The functional is PBE.

Lattice parameters (Å, degrees): 4.773 4.773 4.803 90.00 90.00 90.00
Sites, in units of the cell vectors:
As: 0.000 0.500 0.000
As: 0.500 0.000 0.000
Fe: 0.500 0.500 0.500
Se: 0.000 0.000 0.500
Al: 0.000 0.000 0.000

## Properties
E_tot = -0.2887 Ry per atom
ΔE_f (raw) = 1.070 eV/atom
Distance to the lowest polymorph of the same formula = 0.710 eV per atom

=====

Copy entry 2 word for word.
This record from Alexandria via LeMat-Bulk describes a geometry-optimized Dy3TmMg7 structure. The functional is PBE.

Lattice parameters (Å, degrees): 3.292 11.355 16.279 90.00 90.00 98.34
Sites, in units of the cell vectors:
Dy: 0.118 0.236 0.466
Dy: 0.882 0.764 0.534
Dy: 0.240 0.479 0.750
Dy: 0.760 0.521 0.250
Dy: 0.118 0.236 0.034
Dy: 0.882 0.764 0.966
Tm: 0.985 0.970 0.250
Tm: 0.015 0.030 0.750
Mg: 0.387 0.774 0.750
Mg: 0.613 0.226 0.250
Mg: 0.493 0.986 0.415
Mg: 0.507 0.014 0.585
Mg: 0.507 0.014 0.915
Mg: 0.493 0.986 0.085
Mg: 0.375 0.750 0.342
Mg: 0.625 0.250 0.658
Mg: 0.262 0.525 0.425
Mg: 0.738 0.475 0.575
Mg: 0.738 0.475 0.925
Mg: 0.262 0.525 0.075
Mg: 0.375 0.750 0.158
Mg: 0.625 0.250 0.842

## Properties
DFT formation energy = 91 meV/atom
E_tot = -0.1901 Ry per atom
Distance to the lowest polymorph of the same formula = 0.000 eV per atom

=====

What is the formula in the second record?
Dy3TmMg7

=====

Copy entry 1 word for word.
This record from Alexandria via LeMat-Bulk describes a geometry-optimized Tc2Mo2H structure. The functional is PBE.

Lattice parameters (Å, degrees): 7.232 7.232 2.991 90.00 90.00 90.00
Sites, in units of the cell vectors:
H: 0.000 0.000 0.000
H: 0.500 0.500 0.000
Mo: 0.150 0.650 0.500
Mo: 0.650 0.850 0.500
Mo: 0.850 0.350 0.500
Mo: 0.350 0.150 0.500
Tc: 0.353 0.853 0.000
Tc: 0.853 0.647 0.000
Tc: 0.647 0.147 0.000
Tc: 0.147 0.353 0.000

## Properties
E_tot = -0.6098 Ry per atom
Distance to the lowest polymorph of the same formula = 0.000 eV per atom